Below is CaInRu after structural relaxation, with properties calculated at the PBE-GGA level.

```
CaInRu
1.0
3.413 0.000 0.000
-1.707 2.956 0.000
0.000 0.000 6.740
Ca In Ru
1 1 1
direct
0.000 0.000 0.000 Ca
0.667 0.333 0.414 In
0.333 0.667 0.692 Ru
```

Computed properties:
Formation enthalpy at 0 K, eV per atom: 0.23
Crystal system: trigonal
Total magnetization, μB/f.u.: 0.000